Entry 1:
10
Lattice="6.928 0.000 0.000 0.000 6.928 0.000 0.000 0.000 3.224" Properties=species:S:1:pos:R:3 comment="Li2YRh2 (PBE, optimized geometry)" spacegroup="P4/mbm, No. 127" crystal_system=tetragonal pbc="T T T"
Li 0.762 2.701 0.000
Li 2.701 6.165 0.000
Li 4.226 0.762 0.000
Li 6.165 4.226 0.000
Y 0.000 0.000 0.000
Y 3.464 3.464 0.000
Rh 1.292 4.756 1.612
Rh 2.172 1.292 1.612
Rh 4.756 5.636 1.612
Rh 5.636 2.172 1.612



Entry 2:
10
Lattice="5.096 -2.685 0.000 5.096 2.685 0.000 -2.188 0.000 7.339" Properties=species:S:1:pos:R:3 comment="LiY2Rh2 (PBE, optimized geometry)" spacegroup="C2/c, No. 15" crystal_system=monoclinic pbc="T T T"
Li 3.456 1.926 5.505
Li 4.550 -1.926 1.835
Y 2.828 0.794 2.563
Y 1.734 -0.794 6.232
Y 6.271 0.794 1.107
Y 5.177 -0.794 4.777
Rh 1.594 1.905 7.287
Rh 5.318 1.905 3.723
Rh 2.688 -1.905 3.617
Rh 6.412 -1.905 0.053



Entry 3:
8
Lattice="3.536 0.000 0.000 0.000 4.881 0.000 0.000 0.000 9.715" Properties=species:S:1:pos:R:3 comment="LiY4Rh3 (PBE, optimized geometry)" spacegroup="Pmmm, No. 47" crystal_system=orthorhombic pbc="T T T"
Li 0.000 0.000 0.000
Y 1.768 0.000 2.530
Y 1.768 0.000 7.185
Y 1.768 2.440 0.000
Y 1.768 2.440 4.857
Rh 0.000 0.000 4.857
Rh 0.000 2.440 2.402
Rh 0.000 2.440 7.313



Entry 4:
10
Lattice="7.085 0.000 0.000 0.000 7.085 0.000 0.000 0.000 3.275" Properties=species:S:1:pos:R:3 comment="Li2YRh2 (PBE, optimized geometry)" spacegroup="P4/mbm, No. 127" crystal_system=tetragonal pbc="T T T"
Li 1.058 2.485 0.000
Li 2.485 6.027 0.000
Li 4.600 1.058 0.000
Li 6.027 4.600 0.000
Y 0.000 0.000 1.637
Y 3.542 3.542 1.637
Rh 0.989 4.531 1.637
Rh 2.554 0.989 1.637
Rh 4.531 6.096 1.637
Rh 6.096 2.554 1.637



| no. | energy of formation from the pure elements (meV/atom) |
| --- | --- |
| 1 | -275 |
| 2 | -622 |
| 3 | -636 |
| 4 | -181 |